Entry 1:
# GGA-PBE TaAgSe2N, optimized geometry
# E above lowest polymorph   1459 meV/atom
# Volume   19.43 Å³/atom
# E_form (uncorrected)   1.5012 eV per atom
# E_tot   -22.5 eV per cell
data_TaAgSe2N
_chemical_formula_sum 'Ta1 Ag1 Se2 N1'
_cell_length_a 5.049
_cell_length_b 5.049
_cell_length_c 3.812
_cell_angle_alpha 90.00
_cell_angle_beta 90.00
_cell_angle_gamma 90.00
_symmetry_space_group_name_H-M 'P 4/m m m'
_symmetry_Int_Tables_number 123
_symmetry_space_group_name_Hall '-P 4 2'
loop_
_atom_site_label
_atom_site_fract_x
_atom_site_fract_y
_atom_site_fract_z
Ta1 0.000 0.000 0.000
Ag1 0.500 0.500 0.500
Se1 0.000 0.500 0.500
N1 0.500 0.500 0.000

Entry 2:
# GGA-PBE YCrCd, optimized geometry
# ΔH_f (0 K)   0.1731 eV/atom
# Volume   23.26 Å³/atom
# E_tot   -16.5 eV per cell
data_YCrCd
_chemical_formula_sum 'Y1 Cr1 Cd1'
_cell_length_a 4.8854
_cell_length_b 4.8854
_cell_length_c 3.3761
_cell_angle_alpha 90.00
_cell_angle_beta 90.00
_cell_angle_gamma 120.00
_symmetry_space_group_name_H-M 'P -6 m 2'
_symmetry_Int_Tables_number 187
_symmetry_space_group_name_Hall 'P -6 2'
loop_
_atom_site_label
_atom_site_fract_x
_atom_site_fract_y
_atom_site_fract_z
Y1 0.0000 0.0000 0.0000
Cr1 0.3333 0.6667 0.5000
Cd1 0.6667 0.3333 0.5000

Entry 3:
# GGA-PBE YSbAs2Se, optimized geometry
# E above lowest polymorph   143 meV/atom
# Volume   31.51 Å³/atom
# E_form (uncorrected)   0.2839 eV per atom
# E_tot   -22.0 eV per cell
data_YSbAs2Se
_chemical_formula_sum 'Y1 Sb1 As2 Se1'
_cell_length_a 5.453
_cell_length_b 5.453
_cell_length_c 5.299
_cell_angle_alpha 90.00
_cell_angle_beta 90.00
_cell_angle_gamma 90.00
_symmetry_space_group_name_H-M 'P 4/m m m'
_symmetry_Int_Tables_number 123
_symmetry_space_group_name_Hall '-P 4 2'
loop_
_atom_site_label
_atom_site_fract_x
_atom_site_fract_y
_atom_site_fract_z
Y1 0.000 0.000 0.000
Sb1 0.500 0.500 0.500
As1 0.000 0.500 0.000
Se1 0.000 0.000 0.500

Entry 4:
# GGA-PBE TbNdRu, optimized geometry
# E above lowest polymorph   186 meV/atom
# ΔH_f (0 K)   -0.0566 eV/atom
# Volume   24.35 Å³/atom
# E_tot   -18.8 eV per cell
data_TbNdRu
_chemical_formula_sum 'Tb1 Nd1 Ru1'
_cell_length_a 4.7602
_cell_length_b 4.7602
_cell_length_c 3.7233
_cell_angle_alpha 90.00
_cell_angle_beta 90.00
_cell_angle_gamma 120.00
_symmetry_space_group_name_H-M 'P 3 m 1'
_symmetry_Int_Tables_number 156
_symmetry_space_group_name_Hall 'P 3 -2"'
loop_
_atom_site_label
_atom_site_fract_x
_atom_site_fract_y
_atom_site_fract_z
Tb1 0.0000 0.0000 0.0000
Nd1 0.3333 0.6667 0.5508
Ru1 0.6667 0.3333 0.2438

Entry 5:
# GGA-PBE Cr2PbCl, optimized geometry
# E above lowest polymorph   425 meV/atom
# Volume   22.21 Å³/atom
# E_form (uncorrected)   0.4909 eV per atom
# E_tot   -91.4 eV per cell
data_Cr2PbCl
_chemical_formula_sum 'Cr8 Pb4 Cl4'
_cell_length_a 7.272
_cell_length_b 7.272
_cell_length_c 6.719
_cell_angle_alpha 90.00
_cell_angle_beta 90.00
_cell_angle_gamma 90.00
_symmetry_space_group_name_H-M 'I -4 2 d'
_symmetry_Int_Tables_number 122
_symmetry_space_group_name_Hall 'I -4 2bw'
loop_
_atom_site_label
_atom_site_fract_x
_atom_site_fract_y
_atom_site_fract_z
Cr1 0.214 0.250 0.125
Pb1 0.000 0.000 0.500
Cl1 0.000 0.000 0.000

Entry 6:
# GGA-PBE CaBe2Ru, optimized geometry
# E above lowest polymorph   408 meV/atom
# ΔH_f (0 K)   0.2759 eV/atom
# Volume   14.61 Å³/atom
# E_tot   -35.3 eV per cell
data_CaBe2Ru
_chemical_formula_sum 'Ca2 Be4 Ru2'
_cell_length_a 3.467
_cell_length_b 4.459
_cell_length_c 7.558
_cell_angle_alpha 90.00
_cell_angle_beta 90.00
_cell_angle_gamma 90.00
_symmetry_space_group_name_H-M 'I m m m'
_symmetry_Int_Tables_number 71
_symmetry_space_group_name_Hall '-I 2 2'
loop_
_atom_site_label
_atom_site_fract_x
_atom_site_fract_y
_atom_site_fract_z
Ca1 0.000 0.000 0.000
Be1 0.000 0.500 0.218
Ru1 0.000 0.000 0.500

Entry 7:
# GGA-PBE PuHfRh2, optimized geometry
# ΔH_f (0 K)   -0.6732 eV/atom
# Volume   18.90 Å³/atom
# E_tot   -41.7 eV per cell
data_PuHfRh2
_chemical_formula_sum 'Pu1 Hf1 Rh2'
_cell_length_a 3.249
_cell_length_b 3.249
_cell_length_c 7.161
_cell_angle_alpha 90.00
_cell_angle_beta 90.00
_cell_angle_gamma 90.00
_symmetry_space_group_name_H-M 'P 4/m m m'
_symmetry_Int_Tables_number 123
_symmetry_space_group_name_Hall '-P 4 2'
loop_
_atom_site_label
_atom_site_fract_x
_atom_site_fract_y
_atom_site_fract_z
Pu1 0.000 0.000 0.000
Hf1 0.000 0.000 0.500
Rh1 0.500 0.500 0.285

Entry 8:
# GGA-PBE Tb8Pr3Dy, optimized geometry
# ΔH_f (0 K)   0.6025 eV/atom
# Volume   36.64 Å³/atom
# E_tot   -97.5 eV per cell
data_Tb8Pr3Dy
_chemical_formula_sum 'Tb16 Pr6 Dy2'
_cell_length_a 8.786
_cell_length_b 8.786
_cell_length_c 11.390
_cell_angle_alpha 90.00
_cell_angle_beta 90.00
_cell_angle_gamma 90.00
_symmetry_space_group_name_H-M 'I -4 2 m'
_symmetry_Int_Tables_number 121
_symmetry_space_group_name_Hall 'I -4 2'
loop_
_atom_site_label
_atom_site_fract_x
_atom_site_fract_y
_atom_site_fract_z
Tb1 0.125 0.125 0.246
Tb2 0.245 0.245 0.990
Pr1 0.000 0.000 0.500
Pr2 0.000 0.500 0.250
Dy1 0.000 0.000 0.000